1.
Entry from Alexandria: a relaxed structure of LiBeI2N (PBE).

## Properties
For the formation energy from raw total energies, the calculation gives 484 kJ/mol of formula units. For the total energy, the calculation gives -12.05 eV per cell. For the density of states at the Fermi level, the calculation gives 1.74 states/eV/f.u. For the volume, the calculation gives 115.6 Å³/cell. The space group is P4/mmm (123). The value obtained for the density is 4.08 Mg/m³.

Lattice parameters (Å, degrees): 5.431 5.431 3.918 90.00 90.00 90.00
Sites, in units of the cell vectors:
1 Li 0.000 0.000 0.000
2 Be 0.500 0.500 0.500
3 I 0.000 0.500 0.000
4 I 0.500 0.000 0.000
5 N 0.000 0.000 0.500

2.
Entry from Alexandria: a relaxed structure of LiBeI2N (PBE).

## Properties
For the formation energy from raw total energies, the calculation gives 22 kJ/mol of formula units. For the total energy, the calculation gives -16.84 eV per cell. For the density of states at the Fermi level, the calculation gives 3.62 states/eV/f.u. For the volume, the calculation gives 105.0 Å³/cell. The space group is P4/mmm (123). The value obtained for the density is 4.49 Mg/m³.

Lattice parameters (Å, degrees): 5.679 5.679 3.255 90.00 90.00 90.00
Sites, in units of the cell vectors:
1 Li 0.000 0.000 0.000
2 Be 0.500 0.500 0.500
3 I 0.000 0.500 0.500
4 I 0.500 0.000 0.500
5 N 0.500 0.500 0.000

3.
Entry from Alexandria: a relaxed structure of LiBeIN2 (PBE).

## Properties
For the formation energy from raw total energies, the calculation gives 852 kJ/mol of formula units. For the total energy, the calculation gives -15.01 eV per cell. For the density of states at the Fermi level, the calculation gives 2.34 states/eV/f.u. For the volume, the calculation gives 80.0 Å³/cell. The space group is P4/mmm (123). The value obtained for the density is 3.55 Mg/m³.

Lattice parameters (Å, degrees): 3.667 3.667 5.948 90.00 90.00 90.00
Sites, in units of the cell vectors:
1 Li 0.000 0.000 0.000
2 Be 0.500 0.500 0.500
3 I 0.000 0.000 0.500
4 N 0.000 0.500 0.000
5 N 0.500 0.000 0.000

4.
Entry from Alexandria: a relaxed structure of LiBe2NbI (PBE).

## Properties
For the formation energy from raw total energies, the calculation gives 439 kJ/mol of formula units. For the total energy, the calculation gives -16.43 eV per cell. For the density of states at the Fermi level, the calculation gives 3.07 states/eV/f.u. For the volume, the calculation gives 117.5 Å³/cell. The space group is P4/mmm (123). The value obtained for the density is 3.46 Mg/m³.

Lattice parameters (Å, degrees): 4.700 4.700 5.318 90.00 90.00 90.00
Sites, in units of the cell vectors:
1 Li 0.000 0.000 0.000
2 Be 0.000 0.500 0.500
3 Be 0.500 0.000 0.500
4 Nb 0.500 0.500 0.500
5 I 0.500 0.500 0.000

5.
Entry from Alexandria: a relaxed structure of LiBeIO2 (PBE).

## Properties
For the formation energy from raw total energies, the calculation gives -310 kJ/mol of formula units. For the total energy, the calculation gives -20.32 eV per cell. For the density of states at the Fermi level, the calculation gives 4.14 states/eV/f.u. For the volume, the calculation gives 83.5 Å³/cell. The space group is P4/mmm (123). The value obtained for the density is 3.48 Mg/m³.

Lattice parameters (Å, degrees): 3.485 3.485 6.879 90.00 90.00 90.00
Sites, in units of the cell vectors:
1 Li 0.000 0.000 0.000
2 Be 0.500 0.500 0.500
3 I 0.500 0.500 0.000
4 O 0.000 0.500 0.500
5 O 0.500 0.000 0.500

6.
Entry from Alexandria: a relaxed structure of Li2BeIO4 (PBE).

## Properties
For the formation energy from raw total energies, the calculation gives -1033 kJ/mol of formula units. For the total energy, the calculation gives -39.64 eV per cell. For the density of states at the Fermi level, the calculation gives 0.30 states/eV/f.u. For the volume, the calculation gives 85.5 Å³/cell. The space group is C2 (5). The value obtained for the density is 4.15 Mg/m³.

Lattice parameters (Å, degrees): 4.792 4.792 5.453 124.28 124.28 71.12
Sites, in units of the cell vectors:
1 Li 0.000 0.000 0.000
2 Li 0.745 0.255 0.500
3 Be 0.521 0.479 0.000
4 I 0.231 0.769 0.500
5 O 0.173 0.523 0.023
6 O 0.477 0.827 0.977
7 O 0.547 0.124 0.673
8 O 0.876 0.453 0.327